A plane-wave DFT calculation with PBE was carried out for Ca2Bi2Cl after structural relaxation.

Cell lengths 7.7942, 7.7942, 5.0537 Å; angles 90.00, 90.00, 90.00 degrees
Closest atoms and distances in Å follow each position.
Fractional coordinates of all 10 atoms:
Bi 0.1364 0.6364 0.5000  1 Bi 3.01, 2 Ca 3.29
Bi 0.3636 0.1364 0.5000  1 Bi 3.01, 2 Ca 3.29
Bi 0.6364 0.8636 0.5000  1 Bi 3.01, 2 Ca 3.29
Bi 0.8636 0.3636 0.5000  1 Bi 3.01, 2 Ca 3.29
Cl 0.0000 0.0000 0.0000  4 Ca 2.89
Cl 0.5000 0.5000 0.0000  4 Ca 2.89
Ca 0.6722 0.1722 0.0000  2 Cl 2.89
Ca 0.1722 0.3278 0.0000  2 Cl 2.89
Ca 0.8278 0.6722 0.0000  2 Cl 2.89
Ca 0.3278 0.8278 0.0000  2 Cl 2.89

Values from the calculation:
- Raw formation energy: -1019.9 meV per atom
- Total magnetic moment: 0.00 μB per cell
- E: -3.7423 eV/atom